No. 1
## AcPaPbAu (PBE)

Data for an optimized crystal structure of AcPaPbAu.

Lattice parameters (Å, degrees): 5.5158 5.5158 5.5158 60.00 60.00 60.00
Fractional coordinates of all 4 atoms:
Ac1 0.0000 0.0000 0.0000
Pa1 0.5000 0.5000 0.5000
Pb1 0.2500 0.2500 0.2500
Au1 0.7500 0.7500 0.7500

Properties
Crystal system: cubic
E_form (eV/atom): -0.120
V (Å³/f.u.): 119
Space group: F-43m

No. 2
## VAs2Pd8 (PBE)

Data for an optimized crystal structure of VAs2Pd8.

Lattice parameters (Å, degrees): 6.6285 6.6285 4.5588 101.44 101.44 79.48
Fractional coordinates of all 11 atoms:
V1 0.0000 0.0000 0.0000
As1 0.1662 0.1662 0.5446
As2 0.8338 0.8338 0.4554
Pd1 0.1480 0.6827 0.2227
Pd2 0.2695 0.2695 0.1106
Pd3 0.3173 0.8520 0.7773
Pd4 0.4235 0.4235 0.7052
Pd5 0.5765 0.5765 0.2948
Pd6 0.6827 0.1480 0.2227
Pd7 0.7305 0.7305 0.8894
Pd8 0.8520 0.3173 0.7773

Properties
Crystal system: monoclinic
E_form (eV/atom): -0.087
V (Å³/f.u.): 190
Space group: C2/m